# 1
# PBE+U Ba3TbV2O9, optimized geometry
# Size of the total moment: 1.00 μB/f.u.
# Raw total energy: -109.12 eV per cell
data_Ba3TbV2O9
_chemical_formula_sum 'Ba3 Tb1 V2 O9'
_space_group_name_H-M_alt 'P -3 m 1'
_space_group_IT_number 164
_space_group_name_Hall '-P 3 2"'
_cell_length_a 5.8326
_cell_length_b 5.8326
_cell_length_c 7.1738
_cell_angle_alpha 90.00
_cell_angle_beta 90.00
_cell_angle_gamma 120.00
loop_
_atom_site_label
_atom_site_type_symbol
_atom_site_fract_x
_atom_site_fract_y
_atom_site_fract_z
Ba1 Ba 0.0000 0.0000 0.0000
Ba2 Ba 0.3333 0.6667 0.6829
Tb1 Tb 0.0000 0.0000 0.5000
V1 V 0.3333 0.6667 0.1637
O1 O 0.0000 0.5000 0.0000
O2 O 0.1788 0.3576 0.3124

# 2
# PBE+U Ba3Tb2WO9, optimized geometry
# Size of the total moment: 0.00 μB/f.u.
# Raw total energy: -221.58 eV per cell
data_Ba3Tb2WO9
_chemical_formula_sum 'Ba6 Tb4 W2 O18'
_space_group_name_H-M_alt 'P -1'
_space_group_IT_number 2
_cell_length_a 6.1105
_cell_length_b 8.6541
_cell_length_c 10.5805
_cell_angle_alpha 114.00
_cell_angle_beta 106.77
_cell_angle_gamma 90.23
loop_
_space_group_symop_operation_xyz
'x,y,z'
'-x,-y,-z'
loop_
_atom_site_label
_atom_site_type_symbol
_atom_site_fract_x
_atom_site_fract_y
_atom_site_fract_z
Ba1 Ba 0.0063 0.2535 0.4977
Ba2 Ba 0.3330 0.5768 0.1725
Ba3 Ba 0.3344 0.0920 0.1742
Tb1 Tb 0.1712 0.6680 0.8376
Tb2 Tb 0.5000 0.0000 0.5000
Tb3 Tb 0.5000 0.5000 0.5000
W1 W 0.1682 0.1669 0.8318
O1 O 0.0443 0.2455 0.9964
O2 O 0.1344 0.4600 0.3460
O3 O 0.1341 0.9327 0.8200
O4 O 0.1464 0.8737 0.3067
O5 O 0.2061 0.4060 0.8575
O6 O 0.2880 0.0839 0.6643
O7 O 0.3939 0.6027 0.7048
O8 O 0.4383 0.2323 0.4721
O9 O 0.4852 0.2063 0.9604

# 3
# PBE+U BaTb2WO8, optimized geometry
# Size of the total moment: 0.00 μB/f.u.
# Raw total energy: -89.95 eV per cell
data_BaTb2WO8
_chemical_formula_sum 'Ba1 Tb2 W1 O8'
_space_group_name_H-M_alt 'P -1'
_space_group_IT_number 2
_cell_length_a 5.3753
_cell_length_b 5.5550
_cell_length_c 7.0635
_cell_angle_alpha 82.85
_cell_angle_beta 72.44
_cell_angle_gamma 74.59
loop_
_space_group_symop_operation_xyz
'x,y,z'
'-x,-y,-z'
loop_
_atom_site_label
_atom_site_type_symbol
_atom_site_fract_x
_atom_site_fract_y
_atom_site_fract_z
Ba1 Ba 0.0000 0.0000 0.0000
Tb1 Tb 0.3383 0.4348 0.3270
W1 W 0.0000 0.0000 0.5000
O1 O 0.0674 0.2616 0.6272
O2 O 0.2450 0.0920 0.2547
O3 O 0.2988 0.7396 0.5605
O4 O 0.3611 0.5514 0.9877

- size of the total moment of number 1 (Ba3TbV2O9)?
  1.00 μB/f.u.